# MoP2W

An optimized crystal structure of MoP2W (PBE, Alexandria via LeMat-Bulk).

Output
* final energy: -8.255 eV/atom
* crystal system: tetragonal
* offset from the most stable computed form: 778 meV/atom
* DOS(E_F): 0.874 states/eV/atom
* size of the total moment: 1.78 μB per formula unit
* energy of formation from the pure elements: 0.40 eV/atom

Cell lengths 5.4503, 5.4503, 10.7819 Å; angles 90.00, 90.00, 90.00 degrees
Space group I-42d (No. 122)
Asymmetric unit:
Mo  0.0000  0.0000  0.0000 x4
P  0.2478  0.2500  0.6250 x8
W  0.0000  0.0000  0.5000 x4